A relaxed HfNb2SeBr crystal, computed with PBE.

Output
Crystal system   tetragonal
ΔE_f (raw)   1236.7 meV/atom

a b c (Å): 4.6811 4.6811 5.4012
angles (deg): 90.00 90.00 90.00
Space group P4/mmm (No. 123)
Inequivalent atoms, fractional coordinates:
1 Hf 0.0000 0.0000 0.0000 x1
2 Nb 0.0000 0.5000 0.5000 x2
3 Se 0.5000 0.5000 0.0000 x1
4 Br 0.5000 0.5000 0.5000 x1